1.
A plane-wave DFT calculation with PBE was carried out for crystalline Ti2NbAl at its relaxed geometry.

a b c (Å): 3.8253 3.8253 19.5205
angles (deg): 90.00 90.00 90.00
Positions (direct):
Ti: 0.2443 0.2500 0.1250
Ti: 0.2500 0.7443 0.3750
Ti: 0.2500 0.7557 0.8750
Ti: 0.2557 0.2500 0.6250
Ti: 0.7443 0.7500 0.6250
Ti: 0.7500 0.2443 0.8750
Ti: 0.7500 0.2557 0.3750
Ti: 0.7557 0.7500 0.1250
Nb: 0.0000 0.0000 0.0000
Nb: 0.0000 0.5000 0.2500
Nb: 0.5000 0.0000 0.7500
Nb: 0.5000 0.5000 0.5000
Al: 0.0000 0.0000 0.5000
Al: 0.0000 0.5000 0.7500
Al: 0.5000 0.0000 0.2500
Al: 0.5000 0.5000 0.0000

Values from the calculation:
The calculation puts the formation energy at 20.9 kJ/mol of atoms. The calculation puts the volume at 17.85 A^3/atom. The calculation puts the density of states at the Fermi level at 3.59 states/eV/f.u.


2.
A plane-wave DFT calculation with PBE was carried out for crystalline KIr2Os at its relaxed geometry.

a b c (Å): 5.9175 8.2801 2.6974
angles (deg): 90.00 90.00 90.00
Positions (direct):
K: 0.0000 0.0000 0.0000
K: 0.5000 0.5000 0.0000
Ir: 0.2500 0.2500 0.5000
Ir: 0.2500 0.7500 0.5000
Ir: 0.7500 0.2500 0.5000
Ir: 0.7500 0.7500 0.5000
Os: 0.0000 0.5000 0.0000
Os: 0.5000 0.0000 0.0000

Values from the calculation:
The value obtained for the polymorph energy (0 for the lowest one) is 606.9 meV/atom. The calculation puts the formation energy at 105.0 kJ/mol of atoms. The calculation puts the volume at 16.52 A^3/atom. The calculation puts the density of states at the Fermi level at 5.65 states/eV/f.u.